w.
Below is a relaxed VMo3As crystal, with properties calculated at the GGA-PBE level.

The spin magnetization comes out at 0.309 μB per atom. The density of states at the Fermi level is 6.37 states/eV/f.u. Its space-group type is Pm-3m.

a b c (Å): 4.5867 4.5867 4.5867
angles (deg): 90.00 90.00 90.00
Last column: nearest neighbours and their distance in Å.
Sites, in units of the cell vectors:
Mo: 0.0000 0.5000 0.0000  2 As 2.29
Mo: 0.5000 0.0000 0.0000  2 As 2.29
Mo: 0.0000 0.0000 0.5000  2 As 2.29
As: 0.0000 0.0000 0.0000  6 Mo 2.29
V: 0.5000 0.5000 0.5000  12 Mo 3.24

***

x.
Below is a relaxed VMo3As crystal, with properties calculated at the GGA-PBE level.

The spin magnetization comes out at 0.000 μB per atom. The density of states at the Fermi level is 6.28 states/eV/f.u. Its space-group type is Pm-3m.

a b c (Å): 4.5456 4.5456 4.5456
angles (deg): 90.00 90.00 90.00
Last column: nearest neighbours and their distance in Å.
Sites, in units of the cell vectors:
As: 0.5000 0.5000 0.5000  12 Mo 3.21
Mo: 0.5000 0.0000 0.0000  2 V 2.27
Mo: 0.0000 0.5000 0.0000  2 V 2.27
Mo: 0.0000 0.0000 0.5000  2 V 2.27
V: 0.0000 0.0000 0.0000  6 Mo 2.27

***

Most stable one: w, least stable one: x.

***

w.
Below is a relaxed Mo2AsW2 crystal, with properties calculated at the GGA-PBE level.

The spin magnetization comes out at 0.000 μB per atom. The density of states at the Fermi level is 4.95 states/eV/f.u. Its space-group type is I4/mmm.

a b c (Å): 4.0155 4.0155 6.5996
angles (deg): 72.29 72.29 90.00
Last column: nearest neighbours and their distance in Å.
Sites, in units of the cell vectors:
As: 0.0000 0.0000 0.0000  8 Mo 3.15
W: 0.7500 0.2500 0.5000  4 Mo 2.58, 4 W 2.84
W: 0.2500 0.7500 0.5000  4 Mo 2.58, 4 W 2.84
Mo: 0.3861 0.3861 0.2278  4 W 2.58, 1 Mo 2.71
Mo: 0.6139 0.6139 0.7722  4 W 2.58, 1 Mo 2.71

***

x.
Below is a relaxed Mo2AsW2 crystal, with properties calculated at the GGA-PBE level.

The spin magnetization comes out at 0.000 μB per atom. The density of states at the Fermi level is 4.12 states/eV/f.u. Its space-group type is P4/mbm.

a b c (Å): 7.6249 7.6249 2.9938
angles (deg): 90.00 90.00 90.00
Last column: nearest neighbours and their distance in Å.
Sites, in units of the cell vectors:
Mo: 0.6477 0.1477 0.0000  6 W 2.68-2.69, 2 As 2.91, 2 Mo 2.99
Mo: 0.3523 0.8523 0.0000  6 W 2.68-2.69, 2 As 2.91, 2 Mo 2.99
Mo: 0.8523 0.6477 0.0000  6 W 2.68-2.69, 2 As 2.91, 2 Mo 2.99
Mo: 0.1477 0.3523 0.0000  6 W 2.68-2.69, 2 As 2.91, 2 Mo 2.99
W: 0.6460 0.8540 0.5000  6 Mo 2.68-2.69, 2 W 2.99
W: 0.8540 0.3540 0.5000  6 Mo 2.68-2.69, 2 W 2.99
W: 0.3540 0.1460 0.5000  6 Mo 2.68-2.69, 2 W 2.99
W: 0.1460 0.6460 0.5000  6 Mo 2.68-2.69, 2 W 2.99
As: 0.5000 0.5000 0.0000  4 Mo 2.91, 2 As 2.99
As: 0.0000 0.0000 0.0000  4 Mo 2.91, 2 As 2.99

***

Most stable one: x, least stable one: w.

***

w.
Below is a relaxed MoAs2W2 crystal, with properties calculated at the GGA-PBE level.

The spin magnetization comes out at 0.444 μB per atom. The density of states at the Fermi level is 4.46 states/eV/f.u. Its space-group type is I4/mmm.

a b c (Å): 4.5787 4.5787 5.5197
angles (deg): 65.50 65.50 90.00
Last column: nearest neighbours and their distance in Å.
Sites, in units of the cell vectors:
As: 0.2500 0.7500 0.5000  4 W 2.52
As: 0.7500 0.2500 0.5000  4 W 2.52
W: 0.3687 0.3687 0.2625  1 W 2.35, 4 As 2.52
W: 0.6313 0.6313 0.7375  1 W 2.35, 4 As 2.52
Mo: 0.0000 0.0000 0.0000  8 As 3.20, 10 W 3.30-3.44

***

x.
Below is a relaxed MoAs2W2 crystal, with properties calculated at the GGA-PBE level.

The spin magnetization comes out at 0.000 μB per atom. The density of states at the Fermi level is 3.99 states/eV/f.u. Its space-group type is P4/mbm.

a b c (Å): 7.0041 7.0041 3.2459
angles (deg): 90.00 90.00 90.00
Last column: nearest neighbours and their distance in Å.
Sites, in units of the cell vectors:
As: 0.3417 0.8417 0.0000  6 W 2.58-2.64, 2 Mo 2.64
As: 0.1583 0.3417 0.0000  6 W 2.58-2.64, 2 Mo 2.64
As: 0.8417 0.6583 0.0000  6 W 2.58-2.64, 2 Mo 2.64
As: 0.6583 0.1583 0.0000  6 W 2.58-2.64, 2 Mo 2.64
W: 0.3613 0.1387 0.5000  6 As 2.58-2.64, 1 W 2.75
W: 0.6387 0.8613 0.5000  6 As 2.58-2.64, 1 W 2.75
W: 0.8613 0.3613 0.5000  6 As 2.58-2.64, 1 W 2.75
W: 0.1387 0.6387 0.5000  6 As 2.58-2.64, 1 W 2.75
Mo: 0.5000 0.5000 0.0000  4 As 2.64
Mo: 0.0000 0.0000 0.0000  4 As 2.64

***

y.
Below is a relaxed MoAs2W2 crystal, with properties calculated at the GGA-PBE level.

The spin magnetization comes out at 0.468 μB per atom. The density of states at the Fermi level is 4.29 states/eV/f.u. Its space-group type is I4/mmm.

a b c (Å): 4.3440 4.3440 5.6488
angles (deg): 67.39 67.39 90.00
Last column: nearest neighbours and their distance in Å.
Sites, in units of the cell vectors:
W: 0.2500 0.7500 0.5000  4 As 2.48
W: 0.7500 0.2500 0.5000  4 As 2.48
As: 0.6240 0.6240 0.7521  1 As 2.35, 4 W 2.48
As: 0.3760 0.3760 0.2479  1 As 2.35, 4 W 2.48
Mo: 0.0000 0.0000 0.0000  8 W 3.21, 10 As 3.29-3.57

***

Most stable one: x, least stable one: w.

***

w.
Below is a relaxed YMoAs2 crystal, with properties calculated at the GGA-PBE level.

The spin magnetization comes out at 0.000 μB per atom. The density of states at the Fermi level is 3.04 states/eV/f.u. Its space-group type is Fm-3m.

a b c (Å): 4.7057 4.7057 4.7057
angles (deg): 60.00 60.00 60.00
Last column: nearest neighbours and their distance in Å.
Sites, in units of the cell vectors:
As: 0.7500 0.7500 0.7500  4 Y 2.88, 4 Mo 2.88
As: 0.2500 0.2500 0.2500  4 Mo 2.88, 4 Y 2.88
Mo: 0.5000 0.5000 0.5000  8 As 2.88
Y: 0.0000 0.0000 0.0000  8 As 2.88

***

x.
Below is a relaxed YMoAs2 crystal, with properties calculated at the GGA-PBE level.

The spin magnetization comes out at 0.203 μB per atom. The density of states at the Fermi level is 4.92 states/eV/f.u. Its space-group type is F-43m.

a b c (Å): 4.7645 4.7645 4.7645
angles (deg): 60.00 60.00 60.00
Last column: nearest neighbours and their distance in Å.
Sites, in units of the cell vectors:
Mo: 0.5000 0.5000 0.5000  4 Y 2.92, 4 As 2.92
Y: 0.7500 0.7500 0.7500  4 As 2.92, 4 Mo 2.92
As: 0.2500 0.2500 0.2500  4 Mo 2.92, 4 As 2.92
As: 0.0000 0.0000 0.0000  4 As 2.92, 4 Y 2.92

***

y.
Below is a relaxed YMoAs2 crystal, with properties calculated at the GGA-PBE level.

The spin magnetization comes out at 0.000 μB per atom. The density of states at the Fermi level is 3.14 states/eV/f.u. Its space-group type is P4mm.

a b c (Å): 3.6609 3.6609 5.8753
angles (deg): 90.00 90.00 90.00
Last column: nearest neighbours and their distance in Å.
Sites, in units of the cell vectors:
As: 0.0000 0.0000 0.9627  4 Y 2.78, 2 Mo 2.84-3.03
As: 0.5000 0.5000 0.3002  4 Mo 2.73, 2 Y 2.88-2.99
Mo: 0.0000 0.0000 0.4463  6 As 2.73-3.03
Y: 0.5000 0.5000 0.7908  6 As 2.78-2.99

***

Most stable one: w, least stable one: x.

***

w.
Below is a relaxed YMoAs2 crystal, with properties calculated at the GGA-PBE level.

The spin magnetization comes out at 0.000 μB per atom. The density of states at the Fermi level is 2.06 states/eV/f.u. Its space-group type is Pmmm.

a b c (Å): 4.2685 3.5932 5.3433
angles (deg): 89.99 90.00 90.00
Last column: nearest neighbours and their distance in Å.
Sites, in units of the cell vectors:
As: 0.0000 0.2499 0.9919  2 Mo 2.54, 2 As 2.58-2.76
As: 0.0000 0.2501 0.5081  2 Mo 2.54, 2 As 2.58-2.76
Mo: 0.5000 0.2500 0.2500  4 As 2.54
Y: 0.5000 0.7500 0.7500  8 As 3.07, 4 Mo 3.22

***

x.
Below is a relaxed YMoAs2 crystal, with properties calculated at the GGA-PBE level.

The spin magnetization comes out at 0.472 μB per atom. The density of states at the Fermi level is 2.95 states/eV/f.u. Its space-group type is R-3m.

a b c (Å): 3.9881 3.9881 6.4455
angles (deg): 72.02 72.02 59.92
Last column: nearest neighbours and their distance in Å.
Sites, in units of the cell vectors:
Y: 0.7500 0.7500 0.7500  6 As 2.87
As: 0.5116 0.5116 0.4647  3 Mo 2.64, 3 Y 2.87
As: 0.9884 0.9884 0.0353  3 Mo 2.64, 3 Y 2.87
Mo: 0.2500 0.2500 0.2500  6 As 2.64

***

Most stable one: x, least stable one: w.

***

w.
Below is a relaxed YMo2As2 crystal, with properties calculated at the GGA-PBE level.

The spin magnetization comes out at 0.000 μB per atom. The density of states at the Fermi level is 3.08 states/eV/f.u. Its space-group type is I4/mmm.

a b c (Å): 4.7630 4.7630 5.5101
angles (deg): 64.39 64.39 90.00
Last column: nearest neighbours and their distance in Å.
Sites, in units of the cell vectors:
Y: 0.0000 0.0000 0.0000  8 As 3.23, 10 Mo 3.24-3.55
Mo: 0.6284 0.6284 0.7432  1 Mo 2.24
Mo: 0.3716 0.3716 0.2568  1 Mo 2.24
As: 0.7500 0.2500 0.5000  4 Mo 2.61
As: 0.2500 0.7500 0.5000  4 Mo 2.61

***

x.
Below is a relaxed YMo2As2 crystal, with properties calculated at the GGA-PBE level.

The spin magnetization comes out at 0.000 μB per atom. The density of states at the Fermi level is 4.66 states/eV/f.u. Its space-group type is I4/mmm.

a b c (Å): 4.1365 4.1365 6.2838
angles (deg): 70.78 70.78 90.00
Last column: nearest neighbours and their distance in Å.
Sites, in units of the cell vectors:
As: 0.6199 0.6199 0.7602  4 Mo 2.52, 1 As 2.67
As: 0.3801 0.3801 0.2398  4 Mo 2.52, 1 As 2.67
Y: 0.0000 0.0000 0.0000  8 As 3.21, 8 Mo 3.47
Mo: 0.2500 0.7500 0.5000  4 As 2.52
Mo: 0.7500 0.2500 0.5000  4 As 2.52

***

Most stable one: x, least stable one: w.